LaCdAs2Se | the Alexandria database | PBE | optimized geometry; calculated volume = 38.09 Å³ per atom; total moment = 1.210 μB/cell; total DFT energy (no corrections) = -3.4428 eV/atom; energy relative to the elements, uncorrected = 27.25 kJ per mole of atoms; distance to the lowest polymorph of the same formula = 440 meV per atom
1.0
5.800 0.000 0.000
0.000 5.800 0.000
0.000 0.000 5.660
La Cd As Se
1 1 2 1
Cartesian
0.000 0.000 0.000
2.900 2.900 2.830
0.000 2.900 0.000
2.900 0.000 0.000
0.000 0.000 2.830